1.
# DyAlCu

A relaxed DyAlCu crystal (PBE, Alexandria via LeMat-Bulk).

Summary:
* ΔH_f (0 K): -257 meV/atom
* total magnetization: 0.00 μB/cell
* DOS at the Fermi energy: 3.987 states/eV/cell

Unit cell a=4.4861 b=4.4861 c=4.4861 alpha=60.00 beta=60.00 gamma=60.00
With the nearest neighbours (Å) after each atom.
Element x y z (fractional)
Dy: 0.0000 0.0000 0.0000  4 Cu 2.75
Cu: 0.2500 0.2500 0.2500  4 Al 2.75, 4 Dy 2.75
Al: 0.5000 0.5000 0.5000  4 Cu 2.75

=====

2.
# Y2TlP

A relaxed Y2TlP crystal (PBE, Alexandria via LeMat-Bulk).

Summary:
* energy above the lowest structure with this stoichiometry: 0.18 eV/f.u.
* ΔH_f (0 K): -952 meV/atom
* total magnetization: 0.00 μB/cell
* DOS at the Fermi energy: 2.488 states/eV/cell

Unit cell a=3.8880 b=3.8880 c=8.4602 alpha=76.70 beta=76.70 gamma=60.02
With the nearest neighbours (Å) after each atom.
Element x y z (fractional)
Y: 0.0652 0.0652 0.8042  3 P 2.74
Y: 0.2673 0.2673 0.1974  3 P 2.77
P: 0.6672 0.6672 0.9978  6 Y 2.74-2.77
Tl: 0.5002 0.5002 0.5006  6 Y 3.34

=====

3.
# ZrRe2Cl

A relaxed ZrRe2Cl crystal (PBE, Alexandria via LeMat-Bulk).

Summary:
* E_form (uncorrected): 11.673 kcal/mol of atoms
* energy above the lowest structure with this stoichiometry: 2.52 eV/f.u.
* total magnetization: 0.00 μB/cell
* DOS at the Fermi energy: 2.608 states/eV/cell

Unit cell a=3.0244 b=4.5282 c=5.3920 alpha=90.00 beta=90.00 gamma=90.00
With the nearest neighbours (Å) after each atom.
Element x y z (fractional)
Re: 0.0000 0.0000 0.4610  1 Re 2.27
Cl: 0.5000 0.5000 0.7500  2 Zr 2.70
Zr: 0.5000 0.5000 0.2500  2 Cl 2.70, 8 Re 2.95
Re: 0.0000 0.0000 0.0390  1 Re 2.27

=====

4.
# LiH3Pt

A relaxed LiH3Pt crystal (PBE, Alexandria via LeMat-Bulk).

Summary:
* total magnetization: 0.00 μB/cell
* energy: -3.808 eV/atom
* DOS at the Fermi energy: 3.547 states/eV/cell

Unit cell a=4.9041 b=6.5361 c=6.5361 alpha=68.37 beta=75.48 gamma=75.48
With the nearest neighbours (Å) after each atom.
Element x y z (fractional)
Li: 0.2500 0.9710 0.0290  4 H 2.01-2.16
Li: 0.7500 0.6414 0.3586  6 H 2.11-2.22
H: 0.9465 0.2777 0.9378  1 Pt 1.69
Pt: 0.3165 0.5374 0.1921  5 H 1.69-1.83
H: 0.0535 0.7223 0.0622  1 Pt 1.69
H: 0.5535 0.0622 0.7223  1 Pt 1.69
Li: 0.2500 0.3586 0.6414  6 H 2.11-2.22
H: 0.5984 0.6385 0.9851  2 Pt 1.74-1.83
Pt: 0.1835 0.8079 0.4626  5 H 1.69-1.83
Pt: 0.6835 0.4626 0.8079  5 H 1.69-1.83
H: 0.0984 0.9851 0.6385  2 Pt 1.74-1.83
H: 0.4284 0.6364 0.6473  2 Pt 1.74-1.79
H: 0.9016 0.0149 0.3615  2 Pt 1.74-1.83
Pt: 0.8165 0.1921 0.5374  5 H 1.69-1.83
Li: 0.7500 0.0290 0.9710  4 H 2.01-2.16
H: 0.5716 0.3636 0.3527  2 Pt 1.74-1.79
H: 0.9284 0.6473 0.6364  2 Pt 1.74-1.79
H: 0.4016 0.3615 0.0149  2 Pt 1.74-1.83
H: 0.4465 0.9378 0.2777  1 Pt 1.69
H: 0.0716 0.3527 0.3636  2 Pt 1.74-1.79

=====

5.
# Bi3Pb12Au5

A relaxed Bi3Pb12Au5 crystal (PBE, Alexandria via LeMat-Bulk).

Summary:
* ΔH_f (0 K): 98 meV/atom
* total magnetization: 0.00 μB/cell
* DOS at the Fermi energy: 34.486 states/eV/cell

Unit cell a=15.3080 b=15.3080 c=15.3080 alpha=109.47 beta=109.47 gamma=109.47
With the nearest neighbours (Å) after each atom.
Element x y z (fractional)
Pb: 0.2157 0.5453 0.6259  2 Au 2.82-2.90
Pb: 0.5453 0.2157 0.1259  2 Au 2.82-2.90
Au: 0.3750 0.2500 0.1250  4 Pb 2.82
Pb: 0.9194 0.8296 0.5453  2 Au 2.82-2.90
Pb: 0.1704 0.0897 0.7157  2 Au 2.82-2.90
Bi: 0.3750 0.6250 0.2500  8 Pb 3.27-3.38
Pb: 0.0806 0.9103 0.1259  2 Au 2.82-2.90
Pb: 0.0897 0.1704 0.2157  2 Au 2.82-2.90
Au: 0.2500 0.3750 0.6250  4 Pb 2.82
Pb: 0.6259 0.5806 0.9103  2 Au 2.82-2.90
Pb: 0.4103 0.2843 0.3296  2 Au 2.82-2.90
Pb: 0.7157 0.1259 0.0453  2 Au 2.82-2.90
Au: 0.6250 0.7500 0.8750  4 Pb 2.82
Pb: 0.9547 0.5806 0.1704  2 Au 2.82-2.90
Pb: 0.1704 0.0806 0.9547  2 Au 2.82-2.90
Bi: 0.6250 0.3750 0.7500  8 Pb 3.27-3.38
Au: 0.5000 0.0000 0.0000  6 Pb 2.90
Pb: 0.4194 0.0453 0.3296  2 Au 2.82-2.90
Bi: 0.1250 0.8750 0.7500  8 Pb 3.27-3.38
Au: 0.3750 0.1250 0.7500  4 Pb 2.82
Pb: 0.9194 0.0897 0.8741  2 Au 2.82-2.90
Pb: 0.6704 0.2157 0.5897  2 Au 2.82-2.90
Pb: 0.2157 0.6704 0.0897  2 Au 2.82-2.90
Pb: 0.1259 0.7157 0.5453  2 Au 2.82-2.90
Pb: 0.3741 0.4194 0.0897  2 Au 2.82-2.90
Bi: 0.1250 0.2500 0.8750  8 Pb 3.27-3.38
Au: 0.1250 0.7500 0.3750  4 Pb 2.82
Bi: 0.7500 0.3750 0.1250  8 Pb 3.27-3.38
Bi: 0.7500 0.8750 0.6250  8 Pb 3.27-3.38
Bi: 0.2500 0.6250 0.8750  8 Pb 3.27-3.38
Au: 0.5000 0.0000 0.5000  6 Pb 2.90
Au: 0.7500 0.6250 0.3750  4 Pb 2.82
Pb: 0.5806 0.9547 0.6704  2 Au 2.82-2.90
Pb: 0.9547 0.3741 0.2843  2 Au 2.82-2.90
Au: 0.8750 0.2500 0.6250  4 Pb 2.82
Pb: 0.7843 0.3296 0.9103  2 Au 2.82-2.90
Pb: 0.1259 0.4103 0.0806  2 Au 2.82-2.90
Pb: 0.0806 0.1704 0.4547  2 Au 2.82-2.90
Au: 0.2500 0.8750 0.1250  4 Pb 2.82
Bi: 0.2500 0.1250 0.3750  8 Pb 3.27-3.38
Pb: 0.6704 0.4547 0.5806  2 Au 2.82-2.90
Au: 0.0000 0.5000 0.0000  6 Pb 2.90
Pb: 0.3741 0.9547 0.7843  2 Au 2.82-2.90
Au: 0.0000 0.0000 0.0000  6 Pb 2.90
Pb: 0.7843 0.4547 0.3741  2 Au 2.82-2.90
Au: 0.7500 0.1250 0.8750  4 Pb 2.82
Pb: 0.5453 0.3296 0.9194  2 Au 2.82-2.90
Bi: 0.8750 0.7500 0.1250  8 Pb 3.27-3.38
Au: 0.8750 0.6250 0.7500  4 Pb 2.82
Pb: 0.3296 0.7843 0.4103  2 Au 2.82-2.90
Bi: 0.3750 0.7500 0.6250  8 Pb 3.27-3.38
Au: 0.6250 0.8750 0.2500  4 Pb 2.82
Pb: 0.2843 0.4103 0.8296  2 Au 2.82-2.90
Pb: 0.5806 0.6259 0.4103  2 Au 2.82-2.90
Pb: 0.9103 0.0806 0.6259  2 Au 2.82-2.90
Pb: 0.4103 0.1259 0.5806  2 Au 2.82-2.90
Pb: 0.4547 0.6704 0.0806  2 Au 2.82-2.90
Pb: 0.0453 0.4194 0.8296  2 Au 2.82-2.90
Pb: 0.8296 0.9194 0.0453  2 Au 2.82-2.90
Pb: 0.7157 0.5897 0.1704  2 Au 2.82-2.90
Pb: 0.3296 0.5453 0.4194  2 Au 2.82-2.90
Pb: 0.4547 0.7843 0.8741  2 Au 2.82-2.90
Pb: 0.9103 0.8296 0.7843  2 Au 2.82-2.90
Pb: 0.8741 0.5897 0.9194  2 Au 2.82-2.90
Pb: 0.5897 0.7157 0.6704  2 Au 2.82-2.90
Pb: 0.8296 0.9103 0.2843  2 Au 2.82-2.90
Pb: 0.2843 0.8741 0.9547  2 Au 2.82-2.90
Pb: 0.5897 0.8741 0.4194  2 Au 2.82-2.90
Au: 0.5000 0.5000 0.5000  6 Pb 2.90
Pb: 0.4194 0.3741 0.5897  2 Au 2.82-2.90
Pb: 0.0453 0.6259 0.7157  2 Au 2.82-2.90
Au: 0.0000 0.5000 0.5000  6 Pb 2.90
Au: 0.0000 0.0000 0.5000  6 Pb 2.90
Bi: 0.6250 0.2500 0.3750  8 Pb 3.27-3.38
Pb: 0.6259 0.0453 0.2157  2 Au 2.82-2.90
Pb: 0.8741 0.2843 0.4547  2 Au 2.82-2.90
Pb: 0.0897 0.9194 0.3741  2 Au 2.82-2.90
Bi: 0.8750 0.1250 0.2500  8 Pb 3.27-3.38
Au: 0.1250 0.3750 0.2500  4 Pb 2.82
Au: 0.5000 0.5000 0.0000  6 Pb 2.90

=====

6.
# HfTe3C

A relaxed HfTe3C crystal (PBE, Alexandria via LeMat-Bulk).

Summary:
* E_form (uncorrected): 17.764 kcal/mol of atoms
* energy above the lowest structure with this stoichiometry: 0.00 eV/f.u.
* total magnetization: 0.00 μB/cell
* DOS at the Fermi energy: 1.289 states/eV/cell

Unit cell a=4.7518 b=4.7518 c=4.7518 alpha=90.00 beta=90.00 gamma=90.00
With the nearest neighbours (Å) after each atom.
Element x y z (fractional)
Hf: 0.5000 0.5000 0.5000  12 Te 3.36
C: 0.0000 0.0000 0.0000  6 Te 2.38
Te: 0.5000 0.0000 0.0000  2 C 2.38
Te: 0.0000 0.5000 0.0000  2 C 2.38
Te: 0.0000 0.0000 0.5000  2 C 2.38

=====

7.
# CoMoN3

A relaxed CoMoN3 crystal (PBE, Alexandria via LeMat-Bulk).

Summary:
* E_form (uncorrected): 7.856 kcal/mol of atoms
* total magnetization: 0.97 μB/cell
* DOS at the Fermi energy: 9.109 states/eV/cell

Unit cell a=6.2773 b=7.8187 c=8.5209 alpha=71.17 beta=68.55 gamma=82.76
With the nearest neighbours (Å) after each atom.
Element x y z (fractional)
Mo: 0.1583 0.6877 0.9261  2 N 1.77-1.94
Co: 0.6577 0.0410 0.3381  3 N 1.72-1.86
N: 0.0463 0.8766 0.7976  1 Mo 1.77, 1 Co 1.86
Mo: 0.9412 0.6245 0.3001  2 N 1.77-1.85
N: 0.8275 0.2424 0.8672  1 Mo 1.77
Co: 0.3026 0.2483 0.4249  3 N 1.70-1.75
N: 0.8788 0.5266 0.1508  2 Mo 1.85-2.05
N: 0.5311 0.2556 0.2347  2 Co 1.72-1.86
N: 0.1725 0.7576 0.1328  1 Mo 1.77
N: 0.9181 0.6012 0.5756  1 Co 1.70
N: 0.6857 0.8135 0.3618  2 Co 1.72-1.75
Mo: 0.8417 0.3123 0.0739  2 N 1.77-1.94
Co: 0.3423 0.9590 0.6619  3 N 1.72-1.86
N: 0.1212 0.4734 0.8492  2 Mo 1.85-2.05
N: 0.9537 0.1234 0.2024  1 Mo 1.77, 1 Co 1.86
N: 0.4689 0.7444 0.7653  2 Co 1.72-1.86
Mo: 0.0588 0.3755 0.6999  2 N 1.77-1.85
N: 0.3143 0.1865 0.6382  2 Co 1.72-1.75
Co: 0.6974 0.7517 0.5751  3 N 1.70-1.75
N: 0.0819 0.3988 0.4244  1 Co 1.70

=====

8.
# La5Hg2Rh2Au

A relaxed La5Hg2Rh2Au crystal (PBE, Alexandria via LeMat-Bulk).

Summary:
* ΔH_f (0 K): -622 meV/atom
* total magnetization: 0.00 μB/cell
* DOS at the Fermi energy: 17.332 states/eV/cell

Unit cell a=3.8432 b=12.0759 c=12.0759 alpha=90.00 beta=90.00 gamma=90.00
With the nearest neighbours (Å) after each atom.
Element x y z (fractional)
Au: 0.0000 0.0000 0.0000  8 La 3.24
Au: 0.0000 0.5000 0.5000  8 La 3.24
Hg: 0.0000 0.1739 0.3261  1 Rh 3.31, 6 La 3.54
Hg: 0.0000 0.6739 0.1739  1 Rh 3.31, 6 La 3.54
La: 0.5000 0.8003 0.9183  2 Rh 2.86
Hg: 0.0000 0.8261 0.6739  1 Rh 3.31, 6 La 3.54
Rh: 0.0000 0.3677 0.1323  6 La 2.86-2.97
La: 0.5000 0.0817 0.8003  2 Rh 2.86
La: 0.5000 0.1997 0.0817  2 Rh 2.86
La: 0.5000 0.0000 0.5000  4 Rh 2.97
La: 0.5000 0.5000 0.0000  4 Rh 2.97
Hg: 0.0000 0.3261 0.8261  1 Rh 3.31, 6 La 3.54
La: 0.5000 0.9183 0.1997  2 Rh 2.86
La: 0.5000 0.3003 0.5817  2 Rh 2.86
La: 0.5000 0.4183 0.3003  2 Rh 2.86
Rh: 0.0000 0.6323 0.8677  6 La 2.86-2.97
La: 0.5000 0.6997 0.4183  2 Rh 2.86
Rh: 0.0000 0.1323 0.6323  6 La 2.86-2.97
Rh: 0.0000 0.8677 0.3677  6 La 2.86-2.97
La: 0.5000 0.5817 0.6997  2 Rh 2.86

=====

9.
# MnCoIr2

A relaxed MnCoIr2 crystal (PBE, Alexandria via LeMat-Bulk).

Summary:
* ΔH_f (0 K): -47 meV/atom
* total magnetization: 3.51 μB/cell
* DOS at the Fermi energy: 5.682 states/eV/cell

Unit cell a=2.6976 b=3.6009 c=5.3706 alpha=90.00 beta=90.00 gamma=90.00
With the nearest neighbours (Å) after each atom.
Element x y z (fractional)
Mn: 0.5000 0.5000 0.2499  8 Ir 2.63, 2 Co 2.69, 2 Mn 2.70
Ir: 0.0000 0.0000 0.5030  4 Co 2.61, 4 Mn 2.63, 4 Ir 2.65-2.72
Co: 0.5000 0.5000 0.7499  8 Ir 2.61, 2 Mn 2.69, 2 Co 2.70
Ir: 0.0000 0.0000 0.9968  4 Co 2.61, 4 Mn 2.63, 4 Ir 2.65-2.72

=====

10.
# YTiGaIr2

A relaxed YTiGaIr2 crystal (PBE, Alexandria via LeMat-Bulk).

Summary:
* ΔH_f (0 K): -803 meV/atom
* total magnetization: 0.00 μB/cell
* DOS at the Fermi energy: 2.912 states/eV/cell

Unit cell a=3.9981 b=3.9981 c=6.4939 alpha=107.93 beta=107.93 gamma=90.00
With the nearest neighbours (Å) after each atom.
Element x y z (fractional)
Ti: 0.2500 0.7500 0.5000  4 Ir 2.57, 4 Ga 2.83
Ir: 0.6120 0.6120 0.2240  2 Ti 2.57, 2 Ga 2.57, 1 Ir 2.62
Ir: 0.3880 0.3880 0.7760  2 Ti 2.57, 2 Ga 2.57, 1 Ir 2.62
Y: 0.0000 0.0000 0.0000  8 Ir 3.12
Ga: 0.7500 0.2500 0.5000  4 Ir 2.57, 4 Ti 2.83

=====

11.
# Hg2BiOsSe

A relaxed Hg2BiOsSe crystal (PBE, Alexandria via LeMat-Bulk).

Summary:
* E_form (uncorrected): 23.518 kcal/mol of atoms
* total magnetization: 0.00 μB/cell
* DOS at the Fermi energy: 6.119 states/eV/cell

Unit cell a=5.4142 b=4.5708 c=5.4142 alpha=90.00 beta=90.00 gamma=90.00
With the nearest neighbours (Å) after each atom.
Element x y z (fractional)
Bi: 0.5000 0.5000 0.5000  8 Hg 3.54, 4 Os 3.83
Hg: 0.0000 0.0000 0.5000  2 Se 2.71
Os: 0.0000 0.5000 0.0000  2 Se 2.29
Hg: 0.5000 0.0000 0.0000  2 Se 2.71
Se: 0.0000 0.0000 0.0000  2 Os 2.29

=====

12.
# B2C

A relaxed B2C crystal (PBE, Alexandria via LeMat-Bulk).

Summary:
* energy above the lowest structure with this stoichiometry: 1.08 eV/f.u.
* ΔH_f (0 K): 545 meV/atom
* total magnetization: 0.00 μB/cell
* DOS at the Fermi energy: 2.084 states/eV/cell

Unit cell a=2.6484 b=2.6484 c=15.6938 alpha=90.00 beta=90.00 gamma=120.00
With the nearest neighbours (Å) after each atom.
Element x y z (fractional)
C: 0.6667 0.3333 0.7764  1 C 1.56, 3 B 1.68
B: 0.3333 0.6667 0.7323  3 C 1.68, 1 B 1.70
B: 0.3333 0.6667 0.6243  4 B 1.70-1.89
B: 0.6667 0.3333 0.3757  4 B 1.70-1.89
C: 0.6667 0.3333 0.8756  3 B 1.54, 1 C 1.56
C: 0.3333 0.6667 0.2236  1 C 1.56, 3 B 1.68
B: 0.0000 0.0000 0.1122  3 C 1.54
B: 0.0000 0.0000 0.5539  4 B 1.69-1.89
B: 0.0000 0.0000 0.4461  4 B 1.69-1.89
C: 0.3333 0.6667 0.1244  3 B 1.54, 1 C 1.56
B: 0.6667 0.3333 0.2677  3 C 1.68, 1 B 1.70
B: 0.0000 0.0000 0.8878  3 C 1.54

=====

Among the records above, which one has the highest DOS at the Fermi energy?
Bi3Pb12Au5